[1]
! LiFeAg | Alexandria | GGA-PBE | optimized geometry; values from VASP
! ΔE to the lowest computed polymorph	0.028	eV per atom
&SYSTEM
  ibrav = 0, nat = 3, ntyp = 3
/
ATOMIC_SPECIES
Ag 107.87 Ag.upf
Fe 55.84 Fe.upf
Li 6.94 Li.upf
ATOMIC_POSITIONS crystal
Ag 0.999 0.999 0.000
Fe 0.335 0.335 0.000
Li 0.666 0.666 0.000
CELL_PARAMETERS angstrom
-1.323 -4.454 0.923
3.382 -3.145 1.052
-2.179 4.045 1.154

---

[2]
Density functional theory data (GGA-PBE) for a geometry-optimized LiFe2Ag structure. Values from VASP.

The structure in Quantum ESPRESSO input format:
```
&SYSTEM
  ibrav = 0, nat = 8, ntyp = 3
/
ATOMIC_SPECIES
Fe 55.84 Fe.upf
Ag 107.87 Ag.upf
Li 6.94 Li.upf
ATOMIC_POSITIONS crystal
Fe 0.628 0.125 0.250
Fe 0.122 0.625 0.250
Fe 0.375 0.372 0.750
Fe 0.875 0.878 0.750
Ag 0.000 0.000 0.000
Ag 0.750 0.250 0.500
Li 0.500 0.500 0.000
Li 0.250 0.750 0.500
CELL_PARAMETERS angstrom
-3.449 0.219 -0.343
0.339 -0.078 -3.456
-2.183 -9.558 -1.744
```

---

Number 1: energy of formation from the pure elements 0.270 eV per atom, total magnetization 2.88 μB per formula unit. Number 2: energy of formation from the pure elements 0.470 eV per atom, total magnetization 5.44 μB per formula unit.